# ZnCrNiO4 (GGA+U, relaxed)
data_ZnCrNiO4
_space_group_name_H-M_alt 'P 1'
_space_group_IT_number 1
_cell_length_a 5.954
_cell_length_b 5.954
_cell_length_c 5.954
_cell_angle_alpha 120.50
_cell_angle_beta 120.08
_cell_angle_gamma 89.50
loop_
_space_group_symop_operation_xyz
'x,y,z'
loop_
_atom_site_label
_atom_site_fract_x
_atom_site_fract_y
_atom_site_fract_z
Zn1 0.378 0.128 0.250
Zn2 0.622 0.872 0.750
Cr1 0.000 0.500 0.500
Cr2 0.500 0.500 0.000
Ni1 0.000 0.000 0.500
Ni2 0.000 0.500 0.000
O1 0.212 0.734 0.477
O2 0.243 0.266 0.977
O3 0.246 0.270 0.525
O4 0.246 0.721 0.975
O5 0.754 0.279 0.025
O6 0.754 0.730 0.475
O7 0.757 0.734 0.023
O8 0.788 0.266 0.523
# E_tot   -5.89 eV/atom
# SG   Imma (74)
# Size of the total moment   4.00 μB per formula unit
# Fermi-level density of states   3.40 states/eV/f.u.